DFT (PBE) results for an optimized crystal structure of Ca2Tl6Zn.

Cell lengths 8.6122, 16.4194, 3.7352 Å; angles 90.00, 90.00, 90.00 degrees
With the nearest neighbours (Å) after each atom.
Space group Cmmm (No. 65)
Symmetry-distinct sites (fractional):
Ca (0.0000, 0.1914, 0.0000) (multiplicity 4)  10 Tl 3.36-3.53, 2 Ca 3.74
Tl (0.1843, 0.3465, 0.5000) (multiplicity 8)  1 Zn 2.98, 3 Tl 3.17-3.32
Tl (0.1879, 0.0000, 0.0000) (multiplicity 4)  5 Tl 3.24-3.32, 2 Zn 3.27, 2 Ca 3.53
Zn (0.0000, 0.5000, 0.5000) (multiplicity 2)  8 Tl 2.98-3.27

Computed properties:
**V**: 528 Å³/cell
**Total energy**: -2.26 eV per atom


DFT (PBE) results for an optimized crystal structure of Os2C.

Cell lengths 3.3075, 3.3075, 8.2346 Å; angles 90.00, 90.00, 120.00 degrees
With the nearest neighbours (Å) after each atom.
Space group P6_3/mmc (No. 194)
Symmetry-distinct sites (fractional):
Os (0.0000, 0.0000, 0.0000) (multiplicity 2)  6 Os 2.81, 6 C 2.81
Os (0.3333, 0.6667, 0.2500) (multiplicity 2)  3 C 1.91
C (0.3333, 0.6667, 0.7500) (multiplicity 2)  3 Os 1.91

Computed properties:
**Offset from the most stable computed form**: 627 meV/atom
**V**: 78 Å³/cell


DFT (PBE) results for an optimized crystal structure of LiP2Ir.

Cell lengths 3.9693, 3.9693, 13.6134 Å; angles 90.00, 90.00, 120.00 degrees
With the nearest neighbours (Å) after each atom.
Space group R-3m (No. 166, hexagonal axes)
Symmetry-distinct sites (fractional):
Li (0.0000, 0.0000, 0.0000) (multiplicity 3)  8 P 2.73-3.05
P (0.0000, 0.0000, 0.2241) (multiplicity 6)  3 Ir 2.42
Ir (0.0000, 0.0000, 0.5000) (multiplicity 3)  6 P 2.42

Computed properties:
**Offset from the most stable computed form**: 254 meV/atom
**V**: 186 Å³/cell


DFT (PBE) results for an optimized crystal structure of LiReRu2.

Cell lengths 6.0054, 6.0054, 6.0054 Å; angles 90.00, 90.00, 90.00 degrees
With the nearest neighbours (Å) after each atom.
Space group Fm-3m (No. 225)
Symmetry-distinct sites (fractional):
Li (0.0000, 0.0000, 0.0000) (multiplicity 4)  8 Ru 2.60
Re (0.0000, 0.0000, 0.5000) (multiplicity 4)  8 Ru 2.60
Ru (0.2500, 0.2500, 0.2500) (multiplicity 8)  4 Li 2.60, 4 Re 2.60

Computed properties:
**Offset from the most stable computed form**: 0 meV/atom
**V**: 217 Å³/cell


DFT (PBE) results for an optimized crystal structure of ReBrCl2.

Cell lengths 4.5027, 4.5027, 4.3233 Å; angles 90.00, 90.00, 90.00 degrees
With the nearest neighbours (Å) after each atom.
Space group P4/mmm (No. 123)
Symmetry-distinct sites (fractional):
Re (0.0000, 0.0000, 0.0000) (multiplicity 1)  8 Cl 3.12, 4 Br 3.18
Br (0.5000, 0.5000, 0.0000) (multiplicity 1)  8 Cl 3.12, 4 Re 3.18
Cl (0.0000, 0.5000, 0.5000) (multiplicity 2)  4 Re 3.12, 4 Br 3.12, 4 Cl 3.18

Computed properties:
**Uncorrected formation energy**: 1.28 eV/atom
**Offset from the most stable computed form**: 1447 meV/atom
**V**: 88 Å³/cell


DFT (PBE) results for an optimized crystal structure of KLaP2O6.

Cell lengths 7.7223, 11.7459, 8.7926 Å; angles 90.00, 99.50, 90.00 degrees
With the nearest neighbours (Å) after each atom.
Space group C2/c (No. 15)
Symmetry-distinct sites (fractional):
K (0.0000, 0.0856, 0.2500) (multiplicity 4)  4 O 2.63-2.83
La (0.0000, 0.3508, 0.7500) (multiplicity 4)  6 O 2.36-2.48
P (0.1206, 0.3625, 0.1960) (multiplicity 8)  3 O 1.54-1.55
O (0.0638, 0.3464, 0.0215) (multiplicity 8)  1 P 1.54
O (0.1958, 0.4829, 0.2383) (multiplicity 8)  1 P 1.55
O (0.2458, 0.2661, 0.2647) (multiplicity 8)  1 P 1.55

Computed properties:
**Uncorrected formation energy**: -2.56 eV/atom
**V**: 787 Å³/cell


DFT (PBE) results for an optimized crystal structure of Cs2LiB.

Cell lengths 8.8670, 8.8670, 8.8670 Å; angles 90.00, 90.00, 90.00 degrees
With the nearest neighbours (Å) after each atom.
Space group Fm-3m (No. 225)
Symmetry-distinct sites (fractional):
Cs (0.2500, 0.2500, 0.2500) (multiplicity 8)  4 B 3.84, 4 Li 3.84
Li (0.0000, 0.0000, 0.0000) (multiplicity 4)  8 Cs 3.84
B (0.0000, 0.0000, 0.5000) (multiplicity 4)  8 Cs 3.84

Computed properties:
**V**: 697 Å³/cell
**Total energy**: -1.43 eV per atom


DFT (PBE) results for an optimized crystal structure of PrYGaRu.

Cell lengths 4.3852, 4.0585, 10.8042 Å; angles 90.00, 90.00, 90.00 degrees
With the nearest neighbours (Å) after each atom.
Space group Amm2 (No. 38)
Symmetry-distinct sites (fractional):
Pr (0.0000, 0.0000, 0.0000) (multiplicity 2)  3 Ru 3.07-3.10, 4 Ga 3.12
Y (0.5000, 0.0000, 0.2842) (multiplicity 2)  3 Ga 2.97-3.23, 4 Ru 3.09
Ga (0.5000, 0.0000, 0.5835) (multiplicity 2)  2 Ru 2.60
Ru (0.0000, 0.0000, 0.7128) (multiplicity 2)  2 Ga 2.60

Computed properties:
**Offset from the most stable computed form**: 0 meV/atom
**V**: 192 Å³/cell


DFT (PBE) results for an optimized crystal structure of TlAsSe2O.

Cell lengths 4.6550, 4.6550, 4.6508 Å; angles 90.00, 90.00, 90.00 degrees
With the nearest neighbours (Å) after each atom.
Space group P4/mmm (No. 123)
Symmetry-distinct sites (fractional):
Tl (0.0000, 0.0000, 0.0000) (multiplicity 1)  8 Se 3.29, 4 As 3.29
As (0.5000, 0.5000, 0.0000) (multiplicity 1)  2 O 2.33
Se (0.0000, 0.5000, 0.5000) (multiplicity 2)  2 O 2.33
O (0.5000, 0.5000, 0.5000) (multiplicity 1)  2 As 2.33, 4 Se 2.33

Computed properties:
**Uncorrected formation energy**: 0.32 eV/atom
**Offset from the most stable computed form**: 0 meV/atom
**V**: 101 Å³/cell


DFT (PBE) results for an optimized crystal structure of La2Be3CuPt4.

Cell lengths 4.0997, 4.0997, 10.1214 Å; angles 90.00, 90.00, 90.00 degrees
With the nearest neighbours (Å) after each atom.
Space group P-4m2 (No. 115)
Symmetry-distinct sites (fractional):
La (0.0000, 0.5000, 0.2500) (multiplicity 2)  8 Pt 3.08-3.26, 6 Be 3.21-3.26, 2 Cu 3.26
Be (0.0000, 0.0000, 0.0000) (multiplicity 1)  4 Pt 2.53
Be (0.0000, 0.5000, 0.6144) (multiplicity 2)  5 Pt 2.35-2.42
Cu (0.5000, 0.5000, 0.0000) (multiplicity 1)  4 Pt 2.53
Pt (0.0000, 0.0000, 0.5000) (multiplicity 1)  4 Be 2.35
Pt (0.0000, 0.5000, 0.8532) (multiplicity 2)  3 Be 2.42-2.53, 2 Cu 2.53
Pt (0.5000, 0.5000, 0.5000) (multiplicity 1)  4 Be 2.35

Computed properties:
**V**: 170 Å³/cell
**Total energy**: -5.73 eV per atom


DFT (PBE) results for an optimized crystal structure of TlV2Sb.

Cell lengths 7.4514, 7.4514, 5.9404 Å; angles 90.00, 90.00, 90.00 degrees
With the nearest neighbours (Å) after each atom.
Space group I-42d (No. 122)
Symmetry-distinct sites (fractional):
Tl (0.0000, 0.0000, 0.0000) (multiplicity 4)  4 V 2.80, 2 Sb 2.97
V (0.2369, 0.7500, 0.6250) (multiplicity 8)  2 Sb 2.67, 2 Tl 2.80, 2 V 2.98
Sb (0.0000, 0.0000, 0.5000) (multiplicity 4)  4 V 2.67, 2 Tl 2.97

Computed properties:
**Uncorrected formation energy**: 0.71 eV/atom
**Offset from the most stable computed form**: 208 meV/atom
**V**: 330 Å³/cell


DFT (PBE) results for an optimized crystal structure of Cs3MgNp2Te6.

Cell lengths 7.9178, 13.7150, 9.2564 Å; angles 90.00, 106.56, 90.00 degrees
With the nearest neighbours (Å) after each atom.
Space group C2/m (No. 12)
Symmetry-distinct sites (fractional):
Cs (0.0000, 0.0000, 0.0000) (multiplicity 2)  6 Te 3.83-3.86
Cs (0.0000, 0.3338, 0.0000) (multiplicity 4)  6 Te 3.83-3.86
Mg (0.0000, 0.5000, 0.5000) (multiplicity 2)  6 Te 3.09
Np (0.0000, 0.1667, 0.5000) (multiplicity 4)  6 Te 3.12
Te (0.2271, 0.3349, 0.6859) (multiplicity 8)  1 Mg 3.09, 2 Np 3.12
Te (0.2316, 0.0000, 0.6857) (multiplicity 4)  1 Mg 3.09, 2 Np 3.12

Computed properties:
**Uncorrected formation energy**: -0.88 eV/atom
**V**: 963 Å³/cell


DFT (PBE) results for an optimized crystal structure of TaTcIrSe2.

Cell lengths 4.8531, 4.8531, 4.8255 Å; angles 90.00, 90.00, 90.00 degrees
With the nearest neighbours (Å) after each atom.
Space group P4/mmm (No. 123)
Symmetry-distinct sites (fractional):
Ta (0.0000, 0.0000, 0.0000) (multiplicity 1)  2 Tc 2.41, 4 Se 2.43
Tc (0.0000, 0.0000, 0.5000) (multiplicity 1)  2 Ta 2.41
Ir (0.5000, 0.5000, 0.5000) (multiplicity 1)  8 Se 3.42, 4 Tc 3.43
Se (0.0000, 0.5000, 0.0000) (multiplicity 2)  2 Ta 2.43

Computed properties:
**Uncorrected formation energy**: 1.44 eV/atom
**V**: 114 Å³/cell